Version w
VASP calculation (GGA-PBE) on crystalline LaCePd2 at its relaxed geometry. Values from VASP.

Cell and atoms, written as Quantum ESPRESSO input:
```
&SYSTEM
  ibrav = 0, nat = 4, ntyp = 3
/
ATOMIC_SPECIES
Pd 106.42 Pd.upf
Ce 140.12 Ce.upf
La 138.91 La.upf
CELL_PARAMETERS angstrom
-0.8151 3.8185 1.5780
-2.6241 2.5985 -2.0241
-6.4557 -0.4600 3.3980
ATOMIC_POSITIONS crystal
Pd 0.7538 0.7538 0.7386
Pd 0.2462 0.2462 0.2614
Ce 0.5000 0.5000 0.5000
La 0.0000 0.0000 0.0000
```



Version x
VASP calculation (GGA-PBE) on crystalline LaCePd2 at its relaxed geometry. Values from VASP.

Cell and atoms, written as Quantum ESPRESSO input:
```
&SYSTEM
  ibrav = 0, nat = 4, ntyp = 3
/
ATOMIC_SPECIES
Pd 106.42 Pd.upf
Ce 140.12 Ce.upf
La 138.91 La.upf
CELL_PARAMETERS angstrom
-2.1495 2.8624 -0.5255
-2.3694 -2.1006 -1.7503
-3.4093 -1.4036 6.2999
ATOMIC_POSITIONS crystal
Pd 0.0000 0.0000 0.7719
Pd 0.0000 0.0000 0.2281
Ce 0.5000 0.5000 0.0000
La 0.5000 0.5000 0.5000
```



Version y
VASP calculation (GGA-PBE) on crystalline LaCePd2 at its relaxed geometry. Values from VASP.

Cell and atoms, written as Quantum ESPRESSO input:
```
&SYSTEM
  ibrav = 0, nat = 8, ntyp = 3
/
ATOMIC_SPECIES
La 138.91 La.upf
Ce 140.12 Ce.upf
Pd 106.42 Pd.upf
CELL_PARAMETERS angstrom
-0.7483 -0.4692 -4.6126
5.7041 -3.1853 -0.6014
-6.2911 -3.3235 1.3587
ATOMIC_POSITIONS crystal
La 0.2500 0.2318 0.1168
La 0.7500 0.7682 0.8832
Ce 0.7500 0.8138 0.4061
Ce 0.2500 0.1862 0.5939
Pd 0.2500 0.6818 0.0994
Pd 0.7500 0.3182 0.9006
Pd 0.7500 0.3188 0.4188
Pd 0.2500 0.6812 0.5812
```



Version z
VASP calculation (GGA-PBE) on crystalline LaCePd2 at its relaxed geometry. Values from VASP.

Cell and atoms, written as Quantum ESPRESSO input:
```
&SYSTEM
  ibrav = 0, nat = 4, ntyp = 3
/
ATOMIC_SPECIES
La 138.91 La.upf
Ce 140.12 Ce.upf
Pd 106.42 Pd.upf
CELL_PARAMETERS angstrom
-0.3295 3.3944 -1.8935
-3.7700 0.9855 2.4225
3.3016 0.7796 4.8209
ATOMIC_POSITIONS crystal
La 0.7198 0.0000 0.9792
Ce 0.4496 0.5000 0.4378
Pd 0.1698 0.5000 0.8790
Pd 0.9918 0.0000 0.5221
```



Short version: version z is the most stable of them.